<A>
Entry from Alexandria: crystalline Rh4Se5 at its relaxed geometry (PBE).

Calculated values
Space group: No. 139
Crystal system: tetragonal
Total magnetic moment, μB/cell: 0.0

```
9
Lattice="-4.977 4.977 1.504 4.977 -4.977 1.504 4.977 4.977 -1.504" Properties=species:S:1:pos:R:3 pbc="T T T"
Rh 3.256 0.000 0.000
Rh 6.698 0.000 0.000
Rh 0.000 3.256 0.000
Rh 0.000 6.698 0.000
Se 0.000 0.000 0.000
Se 3.314 3.314 0.000
Se 1.663 -1.663 1.504
Se -1.663 1.663 1.504
Se 1.663 1.663 1.504
```



<B>
Entry from Alexandria: crystalline Rh4Se5 at its relaxed geometry (PBE).

Calculated values
Space group: No. 193
Crystal system: hexagonal
Total magnetic moment, μB/cell: 0.0

```
18
Lattice="7.253 0.000 0.000 -3.627 6.282 0.000 0.000 0.000 7.134" Properties=species:S:1:pos:R:3 pbc="T T T"
Rh 0.000 0.000 0.000
Rh 0.000 0.000 3.567
Rh -1.561 2.704 1.783
Rh -2.065 3.577 5.350
Rh 3.123 0.000 1.783
Rh 1.561 2.704 5.350
Rh 4.131 0.000 5.350
Rh 2.065 3.577 1.783
Se -0.870 1.507 5.350
Se -2.757 4.774 1.783
Se 1.740 0.000 5.350
Se 0.870 1.507 1.783
Se 0.000 4.188 0.000
Se 0.000 4.188 3.567
Se 3.627 2.094 0.000
Se 3.627 2.094 3.567
Se 5.513 0.000 1.783
Se 2.757 4.774 5.350
```



How far above the most stable structure does each one sit? In eV/atom: <A> 0.433; <B> 0.000.